VASP calculation (GGA+U) on a geometry-optimized CaLaCrCuO6 structure.

Computed properties:
Magnetization = 3.7 μB per formula unit
Electronic total energy = -6.88 eV per atom
SG = No. 7
Density of states at the Fermi level = 0.4004 states/eV/atom

POSCAR file:
```
CaLaCrCuO6
1.0
5.459 0.000 0.000
0.000 5.557 0.000
-5.449 0.000 7.672
Ca La Cr Cu O
2 2 2 2 12
Direct
0.000 0.201 0.000
0.000 0.799 0.500
0.518 0.288 0.501
0.518 0.712 0.001
0.760 0.248 0.250
0.760 0.752 0.750
0.262 0.251 0.751
0.262 0.749 0.251
0.003 0.449 0.209
0.003 0.551 0.709
0.075 0.230 0.494
0.075 0.770 0.994
0.434 0.266 0.006
0.434 0.734 0.506
0.517 0.043 0.286
0.517 0.957 0.786
0.599 0.460 0.795
0.599 0.540 0.295
0.932 0.037 0.709
0.932 0.963 0.209
```